(1)
The following is a DFT calculation (PBE) of KMg3 after structural relaxation.

Calculated values
The formation energy comes out at 0.285 eV/atom. Its space-group type is P4/mmm (123). The value obtained for the total energy is -0.04355 Ha/atom.

Lattice parameters (Å, degrees): 5.751 5.751 3.682 90.00 90.00 90.00
Fractional coordinates of all 4 atoms:
K  0.000  0.000  0.000
Mg  0.000  0.500  0.500
Mg  0.500  0.000  0.500
Mg  0.500  0.500  0.000

(2)
The following is a DFT calculation (PBE) of Nd2MgZn2 after structural relaxation.

Calculated values
The formation energy comes out at -0.248 eV/atom. Its space-group type is Cmmm (65). The value obtained for the total energy is -0.10966 Ha/atom.

Lattice parameters (Å, degrees): 4.609 15.049 3.604 90.00 90.00 90.00
Fractional coordinates of all 10 atoms:
Nd  0.000  0.128  0.000
Nd  0.000  0.872  0.000
Nd  0.500  0.372  0.000
Nd  0.500  0.628  0.000
Mg  0.000  0.500  0.500
Mg  0.500  0.000  0.500
Zn  0.000  0.298  0.500
Zn  0.000  0.702  0.500
Zn  0.500  0.202  0.500
Zn  0.500  0.798  0.500

(3)
The following is a DFT calculation (PBE) of FeSiAgSb2 after structural relaxation.

Calculated values
Its space-group type is P4/mmm (123). The value obtained for the total energy is -0.16919 Ha/atom. The uncorrected formation energy is 2.0 eV per formula unit.

Lattice parameters (Å, degrees): 5.041 5.041 4.267 90.00 90.00 90.00
Fractional coordinates of all 5 atoms:
Fe  0.000  0.000  0.000
Si  0.000  0.000  0.500
Ag  0.500  0.500  0.500
Sb  0.000  0.500  0.000
Sb  0.500  0.000  0.000

(4)
The following is a DFT calculation (PBE) of La8Tb3Dy2 after structural relaxation.

Calculated values
The formation energy comes out at 0.179 eV/atom. Its space-group type is C2/m (12). The value obtained for the total energy is -0.17013 Ha/atom.

Lattice parameters (Å, degrees): 11.003 11.003 5.858 90.02 90.02 41.22
Fractional coordinates of all 13 atoms:
La  0.095  0.694  0.000
La  0.175  0.175  0.501
La  0.306  0.905  0.000
La  0.368  0.368  0.501
La  0.632  0.632  0.499
La  0.694  0.095  0.000
La  0.825  0.825  0.499
La  0.905  0.306  0.000
Tb  0.218  0.782  0.500
Tb  0.500  0.500  0.000
Tb  0.782  0.218  0.500
Dy  0.260  0.260  0.001
Dy  0.740  0.740  0.999

(5)
The following is a DFT calculation (PBE) of Tb4Ho3Tm5 after structural relaxation.

Calculated values
The formation energy comes out at 0.021 eV/atom. Its space-group type is P-1 (2). The value obtained for the total energy is -0.16647 Ha/atom.

Lattice parameters (Å, degrees): 6.084 7.033 8.597 90.01 90.04 90.09
Fractional coordinates of all 12 atoms:
Tb  0.167  0.249  0.167
Tb  0.332  0.500  0.832
Tb  0.668  0.500  0.168
Tb  0.833  0.751  0.833
Ho  0.000  0.000  0.500
Ho  0.167  0.751  0.167
Ho  0.833  0.249  0.833
Tm  0.000  0.500  0.500
Tm  0.334  0.000  0.832
Tm  0.500  0.249  0.500
Tm  0.500  0.751  0.500
Tm  0.666  0.000  0.168

(6)
The following is a DFT calculation (PBE) of InTe4Au after structural relaxation.

Calculated values
Its space-group type is C2/m (12). The value obtained for the total energy is -0.11788 Ha/atom. The uncorrected formation energy is -0.7 eV per formula unit.

Lattice parameters (Å, degrees): 13.333 4.247 7.488 90.00 122.52 90.00
Fractional coordinates of all 12 atoms:
In  0.000  0.000  0.000
In  0.500  0.500  0.000
Te  0.131  0.500  0.925
Te  0.162  0.000  0.479
Te  0.338  0.500  0.521
Te  0.369  0.000  0.075
Te  0.631  0.000  0.925
Te  0.662  0.500  0.479
Te  0.838  0.000  0.521
Te  0.869  0.500  0.075
Au  0.000  0.500  0.500
Au  0.500  0.000  0.500

(7)
The following is a DFT calculation (PBE) of KBaSn4 after structural relaxation.

Calculated values
The formation energy comes out at -0.372 eV/atom. Its space-group type is Imm2 (44). The value obtained for the total energy is -0.13023 Ha/atom.

Lattice parameters (Å, degrees): 4.961 8.134 10.117 90.00 90.00 90.00
Fractional coordinates of all 12 atoms:
K  0.000  0.000  0.000
K  0.500  0.500  0.500
Ba  0.000  0.500  0.129
Ba  0.500  0.000  0.629
Sn  0.000  0.188  0.404
Sn  0.000  0.316  0.725
Sn  0.000  0.684  0.725
Sn  0.000  0.812  0.404
Sn  0.500  0.184  0.225
Sn  0.500  0.312  0.904
Sn  0.500  0.688  0.904
Sn  0.500  0.816  0.225

(8)
The following is a DFT calculation (PBE) of MgGa2Rh after structural relaxation.

Calculated values
The formation energy comes out at -0.518 eV/atom. Its space-group type is Pnma (62). The value obtained for the total energy is -0.15684 Ha/atom.

Lattice parameters (Å, degrees): 14.118 7.543 5.109 90.00 90.00 90.00
Fractional coordinates of all 32 atoms:
Mg  0.107  0.250  0.244
Mg  0.136  0.750  0.027
Mg  0.364  0.250  0.527
Mg  0.393  0.750  0.744
Mg  0.607  0.250  0.256
Mg  0.636  0.750  0.473
Mg  0.864  0.250  0.973
Mg  0.893  0.750  0.756
Ga  0.037  0.047  0.762
Ga  0.037  0.453  0.762
Ga  0.212  0.548  0.530
Ga  0.212  0.952  0.530
Ga  0.288  0.048  0.030
Ga  0.288  0.452  0.030
Ga  0.463  0.547  0.262
Ga  0.463  0.953  0.262
Ga  0.537  0.047  0.738
Ga  0.537  0.453  0.738
Ga  0.712  0.548  0.970
Ga  0.712  0.952  0.970
Ga  0.788  0.048  0.470
Ga  0.788  0.452  0.470
Ga  0.963  0.547  0.238
Ga  0.963  0.953  0.238
Rh  0.068  0.750  0.521
Rh  0.186  0.250  0.756
Rh  0.314  0.750  0.256
Rh  0.432  0.250  0.021
Rh  0.568  0.750  0.979
Rh  0.686  0.250  0.744
Rh  0.814  0.750  0.244
Rh  0.932  0.250  0.479

Q: What is the formula in the second record?
A: Nd2MgZn2